--- A ---
The following is a DFT calculation (GGA-PBE) of crystalline ScP2OsO at its relaxed geometry.

The structure in CIF format:
```
data_ScP2OsO
_cell_length_a 4.8444
_cell_length_b 4.8444
_cell_length_c 3.6600
_cell_angle_alpha 90.00
_cell_angle_beta 90.00
_cell_angle_gamma 90.00
_space_group_name_H-M_alt 'P 4/m m m'
_space_group_IT_number 123
_space_group_name_Hall '-P 4 2'
loop_
_atom_site_label
_atom_site_type_symbol
_atom_site_fract_x
_atom_site_fract_y
_atom_site_fract_z
Sc1 Sc 0.0000 0.0000 0.0000
P1 P 0.0000 0.5000 0.5000
Os1 Os 0.5000 0.5000 0.5000
O1 O 0.5000 0.5000 0.0000
```

Properties
M_tot = 0.00 Bohr magnetons per cell
crystal system = tetragonal


--- B ---
The following is a DFT calculation (GGA-PBE) of crystalline ScP2OsO at its relaxed geometry.

The structure in CIF format:
```
data_ScP2OsO
_cell_length_a 4.9742
_cell_length_b 4.9742
_cell_length_c 3.7245
_cell_angle_alpha 90.00
_cell_angle_beta 90.00
_cell_angle_gamma 90.00
_space_group_name_H-M_alt 'P 4/m m m'
_space_group_IT_number 123
_space_group_name_Hall '-P 4 2'
loop_
_atom_site_label
_atom_site_type_symbol
_atom_site_fract_x
_atom_site_fract_y
_atom_site_fract_z
Sc1 Sc 0.0000 0.0000 0.0000
P1 P 0.0000 0.5000 0.0000
Os1 Os 0.5000 0.5000 0.5000
O1 O 0.0000 0.0000 0.5000
```

Properties
M_tot = 1.73 Bohr magnetons per cell
crystal system = tetragonal


Energies, relative to the best one, in eV/atom: A 0.000; B 0.837.


--- A ---
The following is a DFT calculation (GGA-PBE) of crystalline P2OsSeO at its relaxed geometry.

The structure in CIF format:
```
data_P2OsSeO
_cell_length_a 4.6968
_cell_length_b 4.6968
_cell_length_c 3.4625
_cell_angle_alpha 90.00
_cell_angle_beta 90.00
_cell_angle_gamma 90.00
_space_group_name_H-M_alt 'P 4/m m m'
_space_group_IT_number 123
_space_group_name_Hall '-P 4 2'
loop_
_atom_site_label
_atom_site_type_symbol
_atom_site_fract_x
_atom_site_fract_y
_atom_site_fract_z
P1 P 0.0000 0.5000 0.0000
Os1 Os 0.0000 0.0000 0.5000
Se1 Se 0.5000 0.5000 0.0000
O1 O 0.5000 0.5000 0.5000
```

Properties
M_tot = 0.00 Bohr magnetons per cell
crystal system = tetragonal


--- B ---
The following is a DFT calculation (GGA-PBE) of crystalline P2OsSeO at its relaxed geometry.

The structure in CIF format:
```
data_P2OsSeO
_cell_length_a 4.7435
_cell_length_b 4.7435
_cell_length_c 3.7236
_cell_angle_alpha 90.00
_cell_angle_beta 90.00
_cell_angle_gamma 90.00
_space_group_name_H-M_alt 'P 4/m m m'
_space_group_IT_number 123
_space_group_name_Hall '-P 4 2'
loop_
_atom_site_label
_atom_site_type_symbol
_atom_site_fract_x
_atom_site_fract_y
_atom_site_fract_z
P1 P 0.0000 0.5000 0.0000
Os1 Os 0.0000 0.0000 0.0000
Se1 Se 0.5000 0.5000 0.5000
O1 O 0.0000 0.0000 0.5000
```

Properties
M_tot = 0.00 Bohr magnetons per cell
crystal system = tetragonal


Energies, relative to the best one, in eV/atom: A 0.931; B 0.000.


--- A ---
The following is a DFT calculation (GGA-PBE) of crystalline SrPOsO2 at its relaxed geometry.

The structure in CIF format:
```
data_SrPOsO2
_cell_length_a 3.9908
_cell_length_b 3.9908
_cell_length_c 6.8588
_cell_angle_alpha 90.00
_cell_angle_beta 90.00
_cell_angle_gamma 90.00
_space_group_name_H-M_alt 'P 4/m m m'
_space_group_IT_number 123
_space_group_name_Hall '-P 4 2'
loop_
_atom_site_label
_atom_site_type_symbol
_atom_site_fract_x
_atom_site_fract_y
_atom_site_fract_z
Sr1 Sr 0.0000 0.0000 0.0000
P1 P 0.0000 0.0000 0.5000
Os1 Os 0.5000 0.5000 0.5000
O1 O 0.0000 0.5000 0.0000
```

Properties
M_tot = 2.57 Bohr magnetons per cell
crystal system = tetragonal


--- B ---
The following is a DFT calculation (GGA-PBE) of crystalline SrPOsO2 at its relaxed geometry.

The structure in CIF format:
```
data_SrPOsO2
_cell_length_a 4.0631
_cell_length_b 4.0631
_cell_length_c 4.7130
_cell_angle_alpha 90.00
_cell_angle_beta 90.00
_cell_angle_gamma 90.00
_space_group_name_H-M_alt 'P 4/m m m'
_space_group_IT_number 123
_space_group_name_Hall '-P 4 2'
loop_
_atom_site_label
_atom_site_type_symbol
_atom_site_fract_x
_atom_site_fract_y
_atom_site_fract_z
Sr1 Sr 0.0000 0.0000 0.0000
P1 P 0.5000 0.5000 0.0000
Os1 Os 0.5000 0.5000 0.5000
O1 O 0.0000 0.5000 0.5000
```

Properties
M_tot = 0.09 Bohr magnetons per cell
crystal system = tetragonal


Energies, relative to the best one, in eV/atom: A 1.863; B 0.000.


--- A ---
The following is a DFT calculation (GGA-PBE) of crystalline TaPOsO2 at its relaxed geometry.

The structure in CIF format:
```
data_TaPOsO2
_cell_length_a 3.6334
_cell_length_b 3.6334
_cell_length_c 7.8088
_cell_angle_alpha 90.00
_cell_angle_beta 90.00
_cell_angle_gamma 90.00
_space_group_name_H-M_alt 'P 4/m m m'
_space_group_IT_number 123
_space_group_name_Hall '-P 4 2'
loop_
_atom_site_label
_atom_site_type_symbol
_atom_site_fract_x
_atom_site_fract_y
_atom_site_fract_z
Ta1 Ta 0.0000 0.0000 0.0000
P1 P 0.5000 0.5000 0.0000
Os1 Os 0.5000 0.5000 0.5000
O1 O 0.0000 0.5000 0.5000
```

Properties
M_tot = 1.51 Bohr magnetons per cell
crystal system = tetragonal


--- B ---
The following is a DFT calculation (GGA-PBE) of crystalline TaPOsO2 at its relaxed geometry.

The structure in CIF format:
```
data_TaPOsO2
_cell_length_a 3.8003
_cell_length_b 3.8003
_cell_length_c 5.4929
_cell_angle_alpha 90.00
_cell_angle_beta 90.00
_cell_angle_gamma 90.00
_space_group_name_H-M_alt 'P 4/m m m'
_space_group_IT_number 123
_space_group_name_Hall '-P 4 2'
loop_
_atom_site_label
_atom_site_type_symbol
_atom_site_fract_x
_atom_site_fract_y
_atom_site_fract_z
Ta1 Ta 0.0000 0.0000 0.0000
P1 P 0.0000 0.0000 0.5000
Os1 Os 0.5000 0.5000 0.5000
O1 O 0.0000 0.5000 0.0000
```

Properties
M_tot = 2.63 Bohr magnetons per cell
crystal system = tetragonal


Energies, relative to the best one, in eV/atom: A 0.503; B 0.000.


--- A ---
The following is a DFT calculation (GGA-PBE) of crystalline TeP2OsO at its relaxed geometry.

The structure in CIF format:
```
data_TeP2OsO
_cell_length_a 4.9393
_cell_length_b 4.9393
_cell_length_c 3.7342
_cell_angle_alpha 90.00
_cell_angle_beta 90.00
_cell_angle_gamma 90.00
_space_group_name_H-M_alt 'P 4/m m m'
_space_group_IT_number 123
_space_group_name_Hall '-P 4 2'
loop_
_atom_site_label
_atom_site_type_symbol
_atom_site_fract_x
_atom_site_fract_y
_atom_site_fract_z
Te1 Te 0.0000 0.0000 0.0000
P1 P 0.0000 0.5000 0.0000
Os1 Os 0.5000 0.5000 0.5000
O1 O 0.0000 0.0000 0.5000
```

Properties
M_tot = 0.21 Bohr magnetons per cell
crystal system = tetragonal


--- B ---
The following is a DFT calculation (GGA-PBE) of crystalline TeP2OsO at its relaxed geometry.

The structure in CIF format:
```
data_TeP2OsO
_cell_length_a 4.8312
_cell_length_b 4.8312
_cell_length_c 3.7410
_cell_angle_alpha 90.00
_cell_angle_beta 90.00
_cell_angle_gamma 90.00
_space_group_name_H-M_alt 'P 4/m m m'
_space_group_IT_number 123
_space_group_name_Hall '-P 4 2'
loop_
_atom_site_label
_atom_site_type_symbol
_atom_site_fract_x
_atom_site_fract_y
_atom_site_fract_z
Te1 Te 0.0000 0.0000 0.0000
P1 P 0.0000 0.5000 0.5000
Os1 Os 0.5000 0.5000 0.5000
O1 O 0.5000 0.5000 0.0000
```

Properties
M_tot = 0.00 Bohr magnetons per cell
crystal system = tetragonal


Energies, relative to the best one, in eV/atom: A 1.252; B 0.000.


--- A ---
The following is a DFT calculation (GGA-PBE) of crystalline TlPOsO2 at its relaxed geometry.

The structure in CIF format:
```
data_TlPOsO2
_cell_length_a 3.8561
_cell_length_b 3.8561
_cell_length_c 5.2585
_cell_angle_alpha 90.00
_cell_angle_beta 90.00
_cell_angle_gamma 90.00
_space_group_name_H-M_alt 'P 4/m m m'
_space_group_IT_number 123
_space_group_name_Hall '-P 4 2'
loop_
_atom_site_label
_atom_site_type_symbol
_atom_site_fract_x
_atom_site_fract_y
_atom_site_fract_z
Tl1 Tl 0.0000 0.0000 0.0000
P1 P 0.5000 0.5000 0.0000
Os1 Os 0.5000 0.5000 0.5000
O1 O 0.0000 0.5000 0.5000
```

Properties
M_tot = 0.70 Bohr magnetons per cell
crystal system = tetragonal


--- B ---
The following is a DFT calculation (GGA-PBE) of crystalline TlPOsO2 at its relaxed geometry.

The structure in CIF format:
```
data_TlPOsO2
_cell_length_a 3.8831
_cell_length_b 3.8831
_cell_length_c 6.6983
_cell_angle_alpha 90.00
_cell_angle_beta 90.00
_cell_angle_gamma 90.00
_space_group_name_H-M_alt 'P 4/m m m'
_space_group_IT_number 123
_space_group_name_Hall '-P 4 2'
loop_
_atom_site_label
_atom_site_type_symbol
_atom_site_fract_x
_atom_site_fract_y
_atom_site_fract_z
Tl1 Tl 0.0000 0.0000 0.0000
P1 P 0.0000 0.0000 0.5000
Os1 Os 0.5000 0.5000 0.5000
O1 O 0.0000 0.5000 0.0000
```

Properties
M_tot = 2.30 Bohr magnetons per cell
crystal system = tetragonal


Energies, relative to the best one, in eV/atom: A 0.000; B 1.646.